Entry 1:
Density functional theory data (PBE) for Pm3Dy4Ho4 after structural relaxation.

Cell and atoms, written as POSCAR:
```
Pm3Dy4Ho4
1.0
-3.523 0.251 -0.067
-0.100 -4.193 -10.417
1.141 -6.537 8.673
Pm Dy Ho
3 4 4
direct
0.892 0.892 0.783 Pm
0.108 0.108 0.217 Pm
0.000 0.500 0.000 Pm
0.781 0.281 0.563 Dy
0.219 0.719 0.437 Dy
0.500 0.789 0.000 Dy
0.500 0.211 0.000 Dy
0.672 0.428 0.343 Ho
0.328 0.085 0.657 Ho
0.328 0.572 0.657 Ho
0.672 0.915 0.343 Ho
```

N(E_F)	14.66	states/eV/f.u.
final energy	-4.46	eV/atom
polymorph energy (0 for the lowest one)	117	meV/atom
V	33.169	A^3/atom
M_tot	0.0	μB/f.u.

Entry 2:
Density functional theory data (PBE) for PmDy6Ho2 after structural relaxation.

Cell and atoms, written as POSCAR:
```
PmDy6Ho2
1.0
-5.898 1.057 0.843
-1.617 -4.511 -5.649
-1.120 -7.219 1.228
Pm Dy Ho
1 6 2
direct
0.000 0.000 0.000 Pm
0.295 0.375 0.812 Dy
0.296 0.812 0.812 Dy
0.295 0.812 0.375 Dy
0.705 0.625 0.188 Dy
0.704 0.188 0.188 Dy
0.705 0.188 0.625 Dy
0.788 0.667 0.667 Ho
0.212 0.333 0.333 Ho
```

N(E_F)	13.98	states/eV/f.u.
final energy	-4.38	eV/atom
polymorph energy (0 for the lowest one)	220	meV/atom
V	31.954	A^3/atom
M_tot	0.0	μB/f.u.

Entry 3:
Density functional theory data (PBE) for Pm3DyHo5 after structural relaxation.

Cell and atoms, written as POSCAR:
```
Pm3DyHo5
1.0
-2.278 -2.991 5.112
-4.650 -3.100 -7.824
9.995 -5.531 1.218
Pm Dy Ho
6 2 10
direct
0.000 0.000 0.000 Pm
0.353 0.343 0.374 Pm
0.000 0.000 0.500 Pm
0.647 0.657 0.626 Pm
0.990 0.343 0.874 Pm
0.010 0.657 0.126 Pm
0.597 0.000 0.750 Dy
0.403 0.000 0.250 Dy
0.119 0.000 0.750 Ho
0.530 0.682 0.987 Ho
0.876 0.340 0.216 Ho
0.470 0.318 0.013 Ho
0.537 0.660 0.284 Ho
0.881 0.000 0.250 Ho
0.153 0.682 0.487 Ho
0.847 0.318 0.513 Ho
0.463 0.340 0.716 Ho
0.124 0.660 0.784 Ho
```

N(E_F)	13.42	states/eV/f.u.
final energy	-4.34	eV/atom
polymorph energy (0 for the lowest one)	27	meV/atom
V	34.110	A^3/atom
M_tot	0.0	μB/f.u.

Entry 4:
Density functional theory data (PBE) for Pm2Dy5Ho12 after structural relaxation.

Cell and atoms, written as POSCAR:
```
Pm2Dy5Ho12
1.0
-5.794 6.313 3.346
-3.029 -3.413 -11.451
-0.168 -4.098 7.441
Pm Dy Ho
2 5 12
direct
0.682 0.000 0.000 Pm
0.318 0.000 0.000 Pm
0.301 0.603 0.613 Dy
0.232 0.463 0.888 Dy
0.000 0.000 0.500 Dy
0.768 0.537 0.112 Dy
0.699 0.397 0.387 Dy
0.091 0.182 0.300 Ho
0.025 0.690 0.934 Ho
0.664 0.690 0.934 Ho
0.181 0.746 0.402 Ho
0.565 0.746 0.402 Ho
0.558 0.115 0.784 Ho
0.442 0.885 0.216 Ho
0.819 0.254 0.598 Ho
0.435 0.254 0.598 Ho
0.975 0.310 0.066 Ho
0.336 0.310 0.066 Ho
0.909 0.818 0.700 Ho
```

N(E_F)	27.53	states/eV/f.u.
final energy	-4.47	eV/atom
polymorph energy (0 for the lowest one)	112	meV/atom
V	32.271	A^3/atom
M_tot	0.0	μB/f.u.

Entry 5:
Density functional theory data (PBE) for PmDy7Ho2 after structural relaxation.

Cell and atoms, written as POSCAR:
```
PmDy7Ho2
1.0
-2.349 1.445 4.864
-7.978 -3.501 -2.813
6.300 -4.891 4.496
Pm Dy Ho
1 7 2
direct
0.000 0.000 0.000 Pm
0.000 0.784 0.216 Dy
0.000 0.216 0.784 Dy
0.500 0.062 0.292 Dy
0.500 0.938 0.708 Dy
0.500 0.292 0.062 Dy
0.500 0.708 0.938 Dy
0.500 0.500 0.500 Dy
0.500 0.703 0.297 Ho
0.500 0.297 0.703 Ho
```

N(E_F)	14.44	states/eV/f.u.
final energy	-3.91	eV/atom
polymorph energy (0 for the lowest one)	652	meV/atom
V	39.262	A^3/atom
M_tot	0.0	μB/f.u.

Entry 6:
Density functional theory data (PBE) for Pm3DyHo4 after structural relaxation.

Cell and atoms, written as POSCAR:
```
Pm3DyHo4
1.0
0.075 3.089 1.756
-4.299 -1.736 3.235
7.848 -3.849 10.092
Dy Ho Pm
1 4 3
direct
0.000 0.000 0.000 Dy
0.895 0.303 0.203 Ho
0.105 0.697 0.797 Ho
0.778 0.261 0.444 Ho
0.222 0.739 0.556 Ho
0.355 0.784 0.286 Pm
0.645 0.216 0.714 Pm
0.500 0.500 0.000 Pm
```

N(E_F)	11.91	states/eV/f.u.
final energy	-4.45	eV/atom
polymorph energy (0 for the lowest one)	169	meV/atom
V	33.126	A^3/atom
M_tot	0.0	μB/f.u.

Q: polymorph energy (0 for the lowest one) of number 3 (Pm3DyHo5)?
A: 27 meV/atom